No. 1
CrMo2Pd | PBE-GGA | relaxed

Results
- Formation energy from the elements: 0.358 eV per atom
- Calculated total energy: -8.761 eV per atom

Lattice parameters (Å, degrees): 4.383 4.383 4.383 60.00 60.00 60.00
Fractional coordinates of all 4 atoms:
Mo1 0.750 0.750 0.750
Mo2 0.250 0.250 0.250
Pd1 0.500 0.500 0.500
Cr1 0.000 0.000 0.000



No. 2
CrMoPd6 | PBE-GGA | relaxed

Results
- Formation energy from the elements: -0.073 eV per atom
- Calculated total energy: -6.524 eV per atom

Lattice parameters (Å, degrees): 3.928 3.928 7.879 90.00 90.00 90.00
Last column: magnetic moment on the atom in μB.
Fractional coordinates of all 8 atoms:
Cr1 0.000 0.000 0.000  3.33
Pd1 0.500 0.000 0.745  0.03
Pd2 0.000 0.500 0.255  0.03
Pd3 0.500 0.500 0.500  0.01
Mo1 0.000 0.000 0.500  0.69
Pd4 0.500 0.500 0.000  -0.02
Pd5 0.000 0.500 0.745  0.03
Pd6 0.500 0.000 0.255  0.03



No. 3
CrMoPd2 | PBE-GGA | relaxed

Results
- Formation energy from the elements: 0.182 eV per atom
- Calculated total energy: -7.528 eV per atom

Lattice parameters (Å, degrees): 2.756 2.756 9.142 81.33 81.33 60.00
Last column: magnetic moment on the atom in μB.
Fractional coordinates of all 4 atoms:
Mo1 0.000 0.000 0.000  -0.05
Pd1 0.247 0.247 0.259  0.05
Pd2 0.753 0.753 0.741  0.05
Cr1 0.500 0.500 0.500  1.94



No. 4
TaCrMo2Pd | PBE-GGA | relaxed

Results
- Formation energy from the elements: 1.830 eV per atom
- Calculated total energy: -7.836 eV per atom

Lattice parameters (Å, degrees): 4.720 4.470 4.720 90.00 90.00 90.00
Fractional coordinates of all 5 atoms:
Cr1 0.000 0.500 0.000
Pd1 0.500 0.500 0.500
Ta1 0.000 0.000 0.000
Mo1 0.000 0.000 0.500
Mo2 0.500 0.000 0.000



No. 5
CrMo2Pt | PBE-GGA | relaxed

Results
- Formation energy from the elements: 0.001 eV per atom
- Calculated total energy: -9.331 eV per atom

Lattice parameters (Å, degrees): 4.384 2.684 5.119 80.92 90.00 90.00
Fractional coordinates of all 4 atoms:
Mo1 0.500 0.223 0.255
Pt1 0.000 0.644 0.497
Cr1 0.500 0.666 0.776
Mo2 0.000 0.967 0.973



No. 6
CrMoPt2 | PBE-GGA | relaxed

Results
- Formation energy from the elements: -0.064 eV per atom
- Calculated total energy: -8.198 eV per atom

Lattice parameters (Å, degrees): 2.770 4.767 5.529 54.99 90.00 90.00
Last column: magnetic moment on the atom in μB.
Fractional coordinates of all 4 atoms:
Pt1 0.000 0.000 0.000  -0.03
Cr1 0.500 0.500 0.500  2.02
Mo1 0.000 0.000 0.500  -0.52
Pt2 0.500 0.500 0.000  -0.01



No. 7
CrMoPt4 | PBE-GGA | relaxed

Results
- Formation energy from the elements: 0.169 eV per atom
- Calculated total energy: -7.267 eV per atom

Lattice parameters (Å, degrees): 5.210 5.210 5.210 60.00 60.00 60.00
Last column: magnetic moment on the atom in μB.
Fractional coordinates of all 6 atoms:
Pt1 0.625 0.625 0.125  -0.01
Cr1 0.250 0.250 0.250  3.46
Pt2 0.625 0.125 0.625  -0.01
Mo1 0.000 0.000 0.000  -1.38
Pt3 0.625 0.625 0.625  -0.01
Pt4 0.125 0.625 0.625  -0.01



No. 8
CrMoPt2 | PBE-GGA | relaxed

Results
- Formation energy from the elements: -0.216 eV per atom
- Calculated total energy: -8.350 eV per atom

Lattice parameters (Å, degrees): 3.998 2.730 6.060 63.29 90.00 90.00
Last column: magnetic moment on the atom in μB.
Fractional coordinates of all 4 atoms:
Pt1 0.000 0.997 0.003  0.01
Mo1 0.500 0.750 0.750  -0.26
Pt2 0.000 0.503 0.497  0.01
Cr1 0.500 0.250 0.250  1.81